Li2TeAuS4: relaxed, PBE-GGA.

Cell lengths 7.236, 7.236, 8.034 Å; angles 115.68, 115.68, 90.01 degrees
Atoms (fractional coordinates):
Li (0.000, 0.000, 0.000)
Li (0.000, 0.000, 0.500)
Li (0.000, 0.500, 0.000)
Li (0.500, 0.000, 0.500)
Te (0.000, 0.500, 0.500)
Te (0.500, 0.000, 0.000)
Au (0.500, 0.500, 0.000)
Au (0.500, 0.500, 0.500)
S (0.215, 0.222, 0.895)
S (0.222, 0.215, 0.395)
S (0.257, 0.725, 0.987)
S (0.275, 0.743, 0.513)
S (0.725, 0.257, 0.487)
S (0.743, 0.275, 0.013)
S (0.778, 0.785, 0.605)
S (0.785, 0.778, 0.105)

* space-group type: C2/c
* total moment: 0.00 μB per cell
* raw total energy: -3.722 eV per atom

Li3U3AuS8: relaxed, PBE-GGA.

Cell lengths 7.582, 7.582, 7.660 Å; angles 119.64, 119.64, 62.85 degrees
Atoms (fractional coordinates):
Li (0.000, 0.000, 0.000)
Li (0.000, 0.500, 0.000)
Li (0.500, 0.000, 0.000)
U (0.000, 0.500, 0.500)
U (0.500, 0.000, 0.500)
U (0.500, 0.500, 0.500)
Au (0.000, 0.000, 0.500)
S (0.237, 0.237, 0.732)
S (0.242, 0.242, 0.241)
S (0.274, 0.725, 0.759)
S (0.275, 0.726, 0.241)
S (0.725, 0.274, 0.759)
S (0.726, 0.275, 0.241)
S (0.758, 0.758, 0.759)
S (0.763, 0.763, 0.268)

* space-group type: C2/m
* total moment: 5.98 μB per cell
* raw total energy: -6.213 eV per atom

LiYAuS2: relaxed, PBE-GGA.

Cell lengths 5.216, 5.216, 5.654 Å; angles 90.00, 90.00, 90.00 degrees
Atoms (fractional coordinates):
Li (0.000, 0.000, 0.000)
Y (0.500, 0.500, 0.500)
Au (0.500, 0.500, 0.000)
S (0.000, 0.500, 0.500)
S (0.500, 0.000, 0.500)

* space-group type: P4/mmm
* total moment: 0.00 μB per cell
* raw total energy: -4.541 eV per atom

Li4Zr3AuS8: relaxed, PBE-GGA.

Cell lengths 7.431, 7.431, 7.500 Å; angles 119.69, 119.69, 59.92 degrees
Atoms (fractional coordinates):
Li (0.000, 0.000, 0.000)
Li (0.000, 0.500, 0.000)
Li (0.500, 0.000, 0.000)
Li (0.500, 0.500, 0.000)
Zr (0.000, 0.000, 0.500)
Zr (0.000, 0.500, 0.500)
Zr (0.500, 0.000, 0.500)
Au (0.500, 0.500, 0.500)
S (0.234, 0.757, 0.748)
S (0.242, 0.242, 0.251)
S (0.243, 0.766, 0.252)
S (0.249, 0.249, 0.747)
S (0.751, 0.751, 0.253)
S (0.757, 0.234, 0.748)
S (0.758, 0.758, 0.749)
S (0.766, 0.243, 0.252)

* space-group type: C2/m
* total moment: 0.00 μB per cell
* raw total energy: -5.615 eV per atom

LiSb2Au: relaxed, PBE-GGA.

Cell lengths 3.288, 7.138, 8.886 Å; angles 109.79, 100.36, 93.79 degrees
Atoms (fractional coordinates):
Li (0.000, 0.000, 0.000)
Li (0.141, 0.735, 0.322)
Sb (0.574, 0.370, 0.147)
Sb (0.665, 0.106, 0.343)
Sb (0.800, 0.821, 0.618)
Sb (0.832, 0.533, 0.794)
Au (0.450, 0.140, 0.819)
Au (0.501, 0.748, 0.072)

* space-group type: P1
* energy above the most stable polymorph in this dataset: 19 meV per atom
* total moment: 0.00 μB per cell
* raw total energy: -3.582 eV per atom

LiSb2Au: relaxed, PBE-GGA.

Cell lengths 4.063, 5.425, 8.293 Å; angles 90.00, 90.00, 90.00 degrees
Atoms (fractional coordinates):
Li (0.000, 0.000, 0.000)
Li (0.500, 0.500, 0.000)
Sb (0.000, 0.500, 0.258)
Sb (0.000, 0.500, 0.742)
Sb (0.500, 0.000, 0.258)
Sb (0.500, 0.000, 0.742)
Au (0.000, 0.000, 0.500)
Au (0.500, 0.500, 0.500)

* space-group type: Cmmm
* energy above the most stable polymorph in this dataset: 172 meV per atom
* total moment: 0.00 μB per cell
* raw total energy: -3.429 eV per atom

Li3Sb2Au: relaxed, PBE-GGA.

Cell lengths 7.245, 7.245, 7.245 Å; angles 127.06, 98.97, 103.97 degrees
Atoms (fractional coordinates):
Li (0.070, 0.750, 0.320)
Li (0.250, 0.250, 0.000)
Li (0.430, 0.750, 0.680)
Li (0.570, 0.250, 0.320)
Li (0.750, 0.750, 0.000)
Li (0.930, 0.250, 0.680)
Sb (0.133, 0.135, 0.269)
Sb (0.367, 0.635, 0.002)
Sb (0.633, 0.365, 0.998)
Sb (0.867, 0.865, 0.731)
Au (0.000, 0.500, 0.500)
Au (0.500, 0.000, 0.500)

* space-group type: Ibam
* energy above the most stable polymorph in this dataset: 8 meV per atom
* total moment: 0.00 μB per cell
* raw total energy: -3.300 eV per atom

LiSb2Au: relaxed, PBE-GGA.

Cell lengths 9.041, 9.041, 5.137 Å; angles 90.00, 90.00, 90.00 degrees
Atoms (fractional coordinates):
Li (0.000, 0.000, 0.000)
Li (0.000, 0.500, 0.250)
Li (0.500, 0.000, 0.750)
Li (0.500, 0.500, 0.500)
Sb (0.158, 0.750, 0.625)
Sb (0.250, 0.158, 0.375)
Sb (0.250, 0.342, 0.875)
Sb (0.342, 0.750, 0.125)
Sb (0.658, 0.250, 0.125)
Sb (0.750, 0.658, 0.875)
Sb (0.750, 0.842, 0.375)
Sb (0.842, 0.250, 0.625)
Au (0.000, 0.000, 0.500)
Au (0.000, 0.500, 0.750)
Au (0.500, 0.000, 0.250)
Au (0.500, 0.500, 0.000)

* space-group type: I-42d
* energy above the most stable polymorph in this dataset: 64 meV per atom
* total moment: 0.00 μB per cell
* raw total energy: -3.537 eV per atom

- What is the total moment in the first record?
  0.00 μB per cell

What did the second record say?
Li3U3AuS8: relaxed, PBE-GGA.

Cell lengths 7.582, 7.582, 7.660 Å; angles 119.64, 119.64, 62.85 degrees
Atoms (fractional coordinates):
Li (0.000, 0.000, 0.000)
Li (0.000, 0.500, 0.000)
Li (0.500, 0.000, 0.000)
U (0.000, 0.500, 0.500)
U (0.500, 0.000, 0.500)
U (0.500, 0.500, 0.500)
Au (0.000, 0.000, 0.500)
S (0.237, 0.237, 0.732)
S (0.242, 0.242, 0.241)
S (0.274, 0.725, 0.759)
S (0.275, 0.726, 0.241)
S (0.725, 0.274, 0.759)
S (0.726, 0.275, 0.241)
S (0.758, 0.758, 0.759)
S (0.763, 0.763, 0.268)

* space-group type: C2/m
* total moment: 5.98 μB per cell
* raw total energy: -6.213 eV per atom

- Among the records above, which one has the highest raw total energy?
  Li3Sb2Au